An optimized crystal structure of Hf2Fe5B2W, computed with PBE-GGA.

For the energy relative to the elements, the calculation gives -446 meV/atom. The calculation puts the total energy at -9.299 eV/atom.

It has space group P4/mbm (No. 127), with a = 8.850 Å, b = 8.850 Å, c = 2.982 Å, α = 90.00°, β = 90.00° and γ = 90.00°. Symmetry generates all atoms from Hf at (0.175, 0.325, 0.000), Fe at (0.000, 0.500, 0.500), Fe at (0.069, 0.780, 0.500), B at (0.119, 0.619, 0.000) and W at (0.000, 0.000, 0.000).